{"formula": "ZrCd5Ag2", "functional": "GGA-PBE", "state": "optimized geometry", "polymorph_energy_ev_per_fu": 1.30, "energy_ev_per_atom": -2.247, "ef_ev_per_atom": 0.106, "lattice_angstrom": [[-3.7717, 3.7717, 6.1200], [3.7717, -3.7717, 6.1200], [3.7717, 3.7717, -6.1200]], "species": ["Zr", "Zr", "Cd", "Cd", "Cd", "Cd", "Cd", "Cd", "Cd", "Cd", "Cd", "Cd", "Ag", "Ag", "Ag", "Ag"], "frac_coords": [[0.2500, 0.2500, 0.0000], [0.7500, 0.7500, 0.0000], [0.0000, 0.0000, 0.0000], [0.0013, 0.5013, 0.1943], [0.1930, 0.9987, 0.5000], [0.3070, 0.8070, 0.8057], [0.4987, 0.6930, 0.5000], [0.5000, 0.5000, 0.0000], [0.5013, 0.3070, 0.5000], [0.6930, 0.1930, 0.1943], [0.8070, 0.0013, 0.5000], [0.9987, 0.4987, 0.8057], [0.1394, 0.3606, 0.5000], [0.3606, 0.8606, 0.2211], [0.6394, 0.1394, 0.7789], [0.8606, 0.6394, 0.5000]]}

=====

{"formula": "Zr2CdAg3", "functional": "GGA-PBE", "state": "optimized geometry", "energy_ev_per_atom": -4.365, "ef_ev_per_atom": 0.063, "lattice_angstrom": [[7.0884, -2.9947, 0.0000], [7.0884, 2.9947, 0.0000], [-1.2077, 0.0000, 5.7268]], "species": ["Zr", "Zr", "Zr", "Zr", "Cd", "Cd", "Ag", "Ag", "Ag", "Ag", "Ag", "Ag"], "frac_coords": [[0.1750, 0.1783, 0.0874], [0.1783, 0.1750, 0.5874], [0.8217, 0.8250, 0.4126], [0.8250, 0.8217, 0.9126], [0.2407, 0.7593, 0.2500], [0.7593, 0.2407, 0.7500], [0.2308, 0.7692, 0.7500], [0.3577, 0.3600, 0.4280], [0.3600, 0.3577, 0.9280], [0.6400, 0.6423, 0.0720], [0.6423, 0.6400, 0.5720], [0.7692, 0.2308, 0.2500]]}

=====

{"formula": "ZrCd6Ag3", "functional": "GGA-PBE", "state": "optimized geometry", "energy_ev_per_atom": -2.312, "ef_ev_per_atom": -0.052, "lattice_angstrom": [[9.4627, 0.0000, 0.0000], [0.0000, 4.4694, 0.0000], [-0.2648, 0.0000, 9.6441]], "species": ["Zr", "Zr", "Cd", "Cd", "Cd", "Cd", "Cd", "Cd", "Cd", "Cd", "Cd", "Cd", "Cd", "Cd", "Ag", "Ag", "Ag", "Ag", "Ag", "Ag"], "frac_coords": [[0.0544, 0.2500, 0.3990], [0.9456, 0.7500, 0.6010], [0.0558, 0.7500, 0.9059], [0.1525, 0.2500, 0.7107], [0.1634, 0.7500, 0.2063], [0.2591, 0.7500, 0.5112], [0.3742, 0.2500, 0.3099], [0.4675, 0.7500, 0.1034], [0.5325, 0.2500, 0.8966], [0.6258, 0.7500, 0.6901], [0.7409, 0.2500, 0.4888], [0.8366, 0.2500, 0.7937], [0.8475, 0.7500, 0.2893], [0.9442, 0.2500, 0.0941], [0.2498, 0.2500, 0.0234], [0.3425, 0.7500, 0.8154], [0.4406, 0.2500, 0.6020], [0.5594, 0.7500, 0.3980], [0.6575, 0.2500, 0.1846], [0.7502, 0.7500, 0.9766]]}

=====

{"formula": "ZrCd12Ag3", "functional": "GGA-PBE", "state": "optimized geometry", "energy_ev_per_atom": -1.791, "ef_ev_per_atom": -0.035, "lattice_angstrom": [[4.5054, 0.0000, 0.0000], [0.0000, 4.5054, 0.0000], [0.0000, 0.0000, 16.4823]], "species": ["Zr", "Cd", "Cd", "Cd", "Cd", "Cd", "Cd", "Cd", "Cd", "Cd", "Cd", "Cd", "Cd", "Ag", "Ag", "Ag"], "frac_coords": [[0.0000, 0.0000, 0.0000], [0.0000, 0.5000, 0.1289], [0.0000, 0.5000, 0.3760], [0.0000, 0.5000, 0.6240], [0.0000, 0.5000, 0.8711], [0.5000, 0.0000, 0.1289], [0.5000, 0.0000, 0.3760], [0.5000, 0.0000, 0.6240], [0.5000, 0.0000, 0.8711], [0.5000, 0.5000, 0.0000], [0.5000, 0.5000, 0.2554], [0.5000, 0.5000, 0.5000], [0.5000, 0.5000, 0.7446], [0.0000, 0.0000, 0.2489], [0.0000, 0.0000, 0.5000], [0.0000, 0.0000, 0.7511]]}

=====

{"formula": "Zr3CdAg3", "functional": "GGA-PBE", "state": "optimized geometry", "energy_ev_per_atom": -5.041, "ef_ev_per_atom": -0.025, "lattice_angstrom": [[7.3319, 0.0000, 0.0000], [0.0000, 4.7868, 0.0000], [-2.8473, 0.0000, 8.1780]], "species": ["Zr", "Zr", "Zr", "Zr", "Zr", "Zr", "Cd", "Cd", "Ag", "Ag", "Ag", "Ag", "Ag", "Ag"], "frac_coords": [[0.0041, 0.2500, 0.2639], [0.1226, 0.2500, 0.9632], [0.3186, 0.7500, 0.1749], [0.6814, 0.2500, 0.8251], [0.8774, 0.7500, 0.0368], [0.9959, 0.7500, 0.7361], [0.2472, 0.2500, 0.6518], [0.7528, 0.7500, 0.3482], [0.1695, 0.7500, 0.4499], [0.4249, 0.7500, 0.8788], [0.4265, 0.2500, 0.3956], [0.5735, 0.7500, 0.6044], [0.5751, 0.2500, 0.1212], [0.8305, 0.2500, 0.5501]]}

=====

{"formula": "ZrCd2Ag", "functional": "GGA-PBE", "state": "optimized geometry", "energy_ev_per_atom": -3.313, "ef_ev_per_atom": -0.006, "lattice_angstrom": [[1.5157, 0.8751, 10.5826], [-1.5157, 0.8751, 10.5826], [0.0000, -1.7502, 10.5826]], "species": ["Zr", "Cd", "Cd", "Ag"], "frac_coords": [[0.0000, 0.0000, 0.0000], [0.5081, 0.5081, 0.5081], [0.7514, 0.7514, 0.7514], [0.2536, 0.2536, 0.2536]]}